DFT (GGA-PBE) results for a geometry-optimized ThCo5Si3 structure.

Calculated values
Magnetization, μB/f.u.: 1.09
Final energy, eV per formula unit: -64.5

a b c (Å): 3.734 11.622 11.399
angles (deg): 90.00 90.00 90.00
Space group Cmcm (No. 63)
Symmetry-distinct sites (fractional):
Th1 0.000 0.172 0.250 [4 per cell]
Co1 0.000 0.000 0.000 [4 per cell]
Co2 0.000 0.195 0.568 [8 per cell]
Co3 0.000 0.451 0.147 [8 per cell]
Si1 0.000 0.105 0.750 [4 per cell]
Si2 0.000 0.382 0.537 [8 per cell]

***

DFT (GGA-PBE) results for a geometry-optimized ThCo2Si2 structure.

Calculated values
Magnetization, μB/f.u.: 0.88
Final energy, eV per formula unit: -36.2

a b c (Å): 5.448 9.819 12.130
angles (deg): 90.00 90.00 90.00
Space group Fddd (No. 70, origin choice 2)
Symmetry-distinct sites (fractional):
Th1 0.125 0.125 0.125 [8 per cell]
Co1 0.125 0.125 0.514 [16 per cell]
Si1 0.125 0.313 0.625 [16 per cell]

***

DFT (GGA-PBE) results for a geometry-optimized Th3CoSi2 structure.

Calculated values
Magnetization, μB/f.u.: 0.00
Final energy, eV per formula unit: -44.0

a b c (Å): 11.751 4.146 11.490
angles (deg): 90.00 90.00 90.00
Space group Pnma (No. 62)
Symmetry-distinct sites (fractional):
Th1 0.056 0.250 0.125 [4 per cell]
Th2 0.120 0.750 0.558 [4 per cell]
Th3 0.214 0.250 0.795 [4 per cell]
Co1 0.133 0.250 0.367 [4 per cell]
Si1 0.027 0.750 0.315 [4 per cell]
Si2 0.196 0.750 0.993 [4 per cell]